Sc3Ga3NiPt2: optimized geometry, PBE.

Unit cell a=7.1628 b=7.1628 c=3.4299 alpha=90.00 beta=90.00 gamma=120.00
Closest atoms and distances in Å follow each position.
Fractional coordinates of all 9 atoms:
Sc 0.0000 0.4008 0.0000  4 Pt 2.78, 1 Ni 2.87, 6 Ga 3.01-3.04
Sc 0.4008 0.0000 0.0000  4 Pt 2.78, 1 Ni 2.87, 6 Ga 3.01-3.04
Sc 0.5992 0.5992 0.0000  4 Pt 2.78, 1 Ni 2.87, 6 Ga 3.01-3.04
Ga 0.0000 0.7468 0.5000  2 Ni 2.50, 2 Pt 2.72
Ga 0.2532 0.2532 0.5000  2 Ni 2.50, 2 Pt 2.72
Ga 0.7468 0.0000 0.5000  2 Ni 2.50, 2 Pt 2.72
Ni 0.0000 0.0000 0.0000  6 Ga 2.50
Pt 0.3333 0.6667 0.5000  3 Ga 2.72, 6 Sc 2.78
Pt 0.6667 0.3333 0.5000  3 Ga 2.72, 6 Sc 2.78

## Properties
* raw total energy: -6.04 eV/atom